Record 1
A plane-wave DFT calculation with PBE was carried out for a relaxed TaBe2FeSe crystal.

Calculated values
space-group type: No. 123

```
TaBe2FeSe
1.0
3.990 0.000 0.000
0.000 3.990 0.000
0.000 0.000 4.895
Ta Be Fe Se
1 2 1 1
direct
0.000 0.000 0.000
0.000 0.500 0.500
0.500 0.000 0.500
0.500 0.500 0.000
0.000 0.000 0.500
```

---

Record 2
A plane-wave DFT calculation with PBE was carried out for a relaxed RbNbAgI6 crystal.

Calculated values
space-group type: No. 163

```
RbNbAgI6
1.0
7.746 0.000 0.000
-3.873 6.709 0.000
0.000 0.000 15.924
Rb Nb Ag I
2 2 2 12
direct
0.000 0.000 0.000
0.000 0.000 0.500
0.333 0.667 0.250
0.667 0.333 0.750
0.333 0.667 0.750
0.667 0.333 0.250
0.023 0.385 0.147
0.023 0.638 0.353
0.362 0.385 0.353
0.362 0.977 0.147
0.385 0.023 0.647
0.385 0.362 0.853
0.615 0.638 0.147
0.615 0.977 0.353
0.638 0.023 0.853
0.638 0.615 0.647
0.977 0.362 0.647
0.977 0.615 0.853
```

---

Record 3
A plane-wave DFT calculation with PBE was carried out for a relaxed TcAg2Ge2 crystal.

Calculated values
ΔH_f (0 K): 0.310 eV per atom
space-group type: No. 127

```
TcAg2Ge2
1.0
6.640 0.000 0.000
0.000 6.640 0.000
0.000 0.000 3.941
Tc Ag Ge
2 4 4
direct
0.000 0.000 0.000
0.500 0.500 0.000
0.160 0.340 0.500
0.340 0.840 0.500
0.660 0.160 0.500
0.840 0.660 0.500
0.151 0.651 0.000
0.349 0.151 0.000
0.651 0.849 0.000
0.849 0.349 0.000
```

---

Record 4
A plane-wave DFT calculation with PBE was carried out for a relaxed LaSm2In2Ag2 crystal.

Calculated values
ΔH_f (0 K): -0.323 eV per atom
space-group type: No. 166

```
LaSm2In2Ag2
1.0
2.464 1.423 9.199
-2.464 1.423 9.199
0.000 -2.846 9.199
La Sm In Ag
1 2 2 2
direct
0.000 0.000 0.000
0.127 0.127 0.127
0.873 0.873 0.873
0.258 0.258 0.258
0.742 0.742 0.742
0.405 0.405 0.405
0.595 0.595 0.595
```

---

Record 5
A plane-wave DFT calculation with PBE was carried out for a relaxed YMg2 crystal.

Calculated values
ΔH_f (0 K): -0.008 eV per atom
space-group type: No. 71

```
YMg2
1.0
-1.633 2.497 4.823
1.633 -2.497 4.823
1.633 2.497 -4.823
Y Mg
1 2
direct
0.000 0.000 0.000
0.335 0.335 0.000
0.665 0.665 0.000
```

---

Record 6
A plane-wave DFT calculation with PBE was carried out for a relaxed Y2TlFeC crystal.

Calculated values
ΔH_f (0 K): -0.289 eV per atom
space-group type: No. 123

```
Y2TlFeC
1.0
5.101 0.000 0.000
0.000 5.101 0.000
0.000 0.000 3.746
Y Tl Fe C
2 1 1 1
direct
0.000 0.500 0.000
0.500 0.000 0.000
0.000 0.000 0.500
0.500 0.500 0.500
0.500 0.500 0.000
```

---

| no. | final energy (hartree per atom) |
| --- | --- |
| 1 | -0.1868 |
| 2 | -0.1161 |
| 3 | -0.1746 |
| 4 | -0.1460 |
| 5 | -0.1185 |
| 6 | -0.2530 |